1.
Compound: Sc6SbPd12
Source: Alexandria
Functional: PBE
Structure: optimized geometry

D(E_F): 6.343 states/eV/f.u.
E_form (uncorrected): -0.724 eV per atom
Electronic total energy: -118.19 eV/cell

Structure (POSCAR):
```
Sc6SbPd12
1.0
-3.197 6.084 1.270
-2.057 -2.852 6.040
6.119 2.165 2.593
Sc Sb Pd
6 1 12
direct
0.689 0.854 0.256
0.744 0.311 0.146
0.146 0.744 0.311
0.311 0.146 0.744
0.256 0.689 0.854
0.854 0.256 0.689
0.000 0.000 0.000
0.790 0.543 0.471
0.471 0.790 0.543
0.543 0.471 0.790
0.210 0.457 0.529
0.529 0.210 0.457
0.457 0.529 0.210
0.038 0.129 0.367
0.871 0.633 0.962
0.633 0.962 0.871
0.962 0.871 0.633
0.129 0.367 0.038
0.367 0.038 0.129
```



2.
Compound: LiY2Ta
Source: Alexandria
Functional: PBE
Structure: optimized geometry

Formation energy: 497 meV/atom
D(E_F): 4.119 states/eV/f.u.
Electronic total energy: -24.71 eV/cell
Relative energy among the computed polymorphs: 245.9 meV/atom

Structure (POSCAR):
```
LiY2Ta
1.0
-2.645 -1.672 0.239
3.002 -5.041 -2.029
3.086 -4.397 3.403
Li Ta Y
1 1 2
direct
0.500 0.500 0.500
0.000 0.000 0.500
0.000 0.000 0.000
0.500 0.500 0.000
```



3.
Compound: PuTl2Pb5
Source: Alexandria
Functional: PBE
Structure: optimized geometry

Formation energy: -26 meV/atom
D(E_F): 12.849 states/eV/f.u.
Electronic total energy: -37.81 eV/cell

Structure (POSCAR):
```
PuTl2Pb5
1.0
-5.364 3.661 2.333
-2.548 -0.493 -6.394
1.598 -5.846 3.298
Pu Tl Pb
1 2 5
direct
0.778 0.778 0.000
0.278 0.778 0.500
0.778 0.278 0.500
0.278 0.278 0.500
0.278 0.778 0.000
0.778 0.278 0.000
0.778 0.778 0.500
0.278 0.278 0.000
```